Compound: Rb2MnPO4
Source: Alexandria
Functional: PBE with a Hubbard U
Structure: relaxed

Properties
**E_tot**: -6.0562 eV/atom
**Density**: 2.877 g/cm³
**Symmetry**: Fddd, No. 70

abc: 5.4207 6.7122 11.4527
angles: 84.52 76.31 66.18
Atoms (fractional coordinates):
Rb (0.1769, 0.0000, 0.6463)
Rb (0.8231, 0.0000, 0.3537)
Rb (0.5731, 0.5000, 0.8537)
Rb (0.9269, 0.5000, 0.1463)
Mn (0.7500, 0.5000, 0.5000)
Mn (0.0000, 0.0000, 0.0000)
P (0.2500, 0.5000, 0.5000)
P (0.5000, 0.0000, 0.0000)
O (0.3583, 0.8525, 0.0772)
O (0.2880, 0.1475, 0.9228)
O (0.7892, 0.8525, 0.9228)
O (0.5645, 0.1475, 0.0772)
O (0.3917, 0.6475, 0.4228)
O (0.4620, 0.3525, 0.5772)
O (0.9608, 0.6475, 0.5772)
O (0.1855, 0.3525, 0.4228)